DFT (PBE) results for crystalline Mg2AsRh at its relaxed geometry.

## Properties
As for the total energy: -4.091 eV per atom. The spin magnetization is 0.0000 μB/atom. The symmetry is Pmm2. The density is 5.48 g/cm3. Its energy relative to the elements is -0.2938 eV per atom.

Lattice parameters (Å, degrees): 3.1326 3.8738 5.6494 90.00 90.00 90.00
Last column: nearest neighbours and their distance in Å.
Fractional coordinates of all 4 atoms:
Mg: 0.0000 0.0000 0.0000  2 Rh 2.78-2.87, 4 As 2.84, 4 Mg 2.99
Mg: 0.5000 0.5000 0.2942  1 As 2.62, 4 Rh 2.77
As: 0.5000 0.5000 0.7577  5 Mg 2.62-2.84, 4 Rh 2.86
Rh: 0.0000 0.0000 0.5086  6 Mg 2.77-2.87, 4 As 2.86



DFT (PBE) results for crystalline BaCuBiAs at its relaxed geometry.

## Properties
As for the total energy: -4.174 eV per atom. The spin magnetization is 0.0000 μB/atom. The symmetry is P4/nmm. The density is 7.10 g/cm3. Its energy relative to the elements is -0.5367 eV per atom.

Lattice parameters (Å, degrees): 4.4354 4.4354 11.5231 90.00 90.00 90.00
Last column: nearest neighbours and their distance in Å.
Fractional coordinates of all 8 atoms:
Ba: 0.2500 0.2500 0.2262  4 Cu 3.42, 4 As 3.42
Ba: 0.7500 0.7500 0.7738  4 Cu 3.42, 4 As 3.42
Cu: 0.2500 0.7500 0.0000  4 As 2.54
Cu: 0.7500 0.2500 0.0000  4 As 2.54
Bi: 0.2500 0.7500 0.5000  4 Bi 3.14
Bi: 0.7500 0.2500 0.5000  4 Bi 3.14
As: 0.2500 0.2500 0.8932  4 Cu 2.54
As: 0.7500 0.7500 0.1068  4 Cu 2.54



DFT (PBE) results for crystalline H3OsF at its relaxed geometry.

## Properties
As for the total energy: -3.413 eV per atom. The spin magnetization is 0.0000 μB/atom. The energy relative to the lowest polymorph listed for this composition comes out at 0.724 eV per atom. The symmetry is Pm-3m. The density is 10.21 g/cm3.

Lattice parameters (Å, degrees): 3.2565 3.2565 3.2565 90.00 90.00 90.00
Last column: nearest neighbours and their distance in Å.
Fractional coordinates of all 5 atoms:
H: 0.0000 0.0000 0.5000  2 F 1.63
H: 0.0000 0.5000 0.0000  2 F 1.63
H: 0.5000 0.0000 0.0000  2 F 1.63
Os: 0.5000 0.5000 0.5000  12 H 2.30
F: 0.0000 0.0000 0.0000  6 H 1.63



DFT (PBE) results for crystalline RbP11 at its relaxed geometry.

## Properties
As for the total energy: -5.169 eV per atom. The spin magnetization is 0.0000 μB/atom. The symmetry is P2_1/m. The density is 2.22 g/cm3. Its energy relative to the elements is -0.1297 eV per atom.

Lattice parameters (Å, degrees): 6.9570 9.7681 18.8235 90.00 93.57 90.00
Last column: nearest neighbours and their distance in Å.
Fractional coordinates of all 48 atoms:
Rb: 0.0751 0.0225 0.1677  7 P 3.51-3.90
Rb: 0.0751 0.4775 0.1677  7 P 3.51-3.90
Rb: 0.9249 0.5225 0.8323  7 P 3.51-3.90
Rb: 0.9249 0.9775 0.8323  7 P 3.51-3.90
P: 0.1269 0.7500 0.6141  3 P 2.16-2.24
P: 0.1536 0.0961 0.5946  3 P 2.20-2.24
P: 0.1536 0.4039 0.5946  3 P 2.20-2.24
P: 0.2021 0.7500 0.7272  2 P 2.16
P: 0.2285 0.1323 0.7103  3 P 2.24-2.30
P: 0.2285 0.3677 0.7103  3 P 2.24-2.30
P: 0.2466 0.7500 0.0674  2 P 2.16
P: 0.2692 0.7500 0.9535  3 P 2.16-2.23
P: 0.3116 0.5899 0.5670  3 P 2.20-2.26
P: 0.3116 0.9101 0.5670  3 P 2.20-2.26
P: 0.3204 0.0885 0.9699  3 P 2.22-2.27
P: 0.3204 0.4115 0.9699  3 P 2.22-2.27
P: 0.3435 0.2500 0.5487  3 P 2.21-2.32
P: 0.3844 0.7500 0.3735  3 P 2.21-2.32
P: 0.4216 0.0893 0.3582  3 P 2.20-2.26
P: 0.4216 0.4107 0.3582  3 P 2.20-2.26
P: 0.4480 0.2500 0.9041  3 P 2.16-2.22
P: 0.4543 0.5957 0.2934  3 P 2.20-2.24
P: 0.4543 0.9043 0.2934  3 P 2.20-2.24
P: 0.4827 0.5889 0.9290  3 P 2.23-2.27
P: 0.4827 0.9111 0.9290  3 P 2.23-2.27
P: 0.4882 0.2500 0.2782  3 P 2.16-2.24
P: 0.5118 0.7500 0.7218  3 P 2.16-2.24
P: 0.5173 0.0889 0.0710  3 P 2.23-2.27
P: 0.5173 0.4111 0.0710  3 P 2.23-2.27
P: 0.5457 0.0957 0.7066  3 P 2.20-2.24
P: 0.5457 0.4043 0.7066  3 P 2.20-2.24
P: 0.5520 0.7500 0.0959  3 P 2.16-2.22
P: 0.5784 0.5893 0.6418  3 P 2.20-2.26
P: 0.5784 0.9107 0.6418  3 P 2.20-2.26
P: 0.6156 0.2500 0.6265  3 P 2.21-2.32
P: 0.6565 0.7500 0.4513  3 P 2.21-2.32
P: 0.6796 0.5885 0.0301  3 P 2.22-2.27
P: 0.6796 0.9115 0.0301  3 P 2.22-2.27
P: 0.6884 0.0899 0.4330  3 P 2.20-2.26
P: 0.6884 0.4101 0.4330  3 P 2.20-2.26
P: 0.7308 0.2500 0.0465  3 P 2.16-2.23
P: 0.7534 0.2500 0.9326  2 P 2.16
P: 0.7715 0.6323 0.2897  3 P 2.24-2.30
P: 0.7715 0.8677 0.2897  3 P 2.24-2.30
P: 0.7979 0.2500 0.2728  2 P 2.16
P: 0.8464 0.5961 0.4054  3 P 2.20-2.24
P: 0.8464 0.9039 0.4054  3 P 2.20-2.24
P: 0.8731 0.2500 0.3859  3 P 2.16-2.24